Record 1
DFT (GGA-PBE) results for RbThCu2F8 after structural relaxation.

Computed properties:
N(E_F) = 14.52 states/eV/cell
SG = R32 (155)
volume = 202.4 Å³ per cell
magnetization = 1.011 μB per cell
E_form (uncorrected) = -31.43 eV per formula unit

a b c (Å): 8.981 8.981 8.981
angles (deg): 34.05 34.05 34.05
Positions (direct):
Rb  0.000  0.000  0.000
Th  0.500  0.500  0.500
Cu  0.269  0.269  0.269
Cu  0.731  0.731  0.731
F  0.098  0.464  0.774
F  0.226  0.536  0.902
F  0.342  0.342  0.342
F  0.464  0.774  0.098
F  0.536  0.902  0.226
F  0.658  0.658  0.658
F  0.774  0.098  0.464
F  0.902  0.226  0.536



Record 2
DFT (GGA-PBE) results for RbTiCuF6 after structural relaxation.

Computed properties:
N(E_F) = 1.26 states/eV/cell
SG = P-31c (163)
volume = 320.4 Å³ per cell
magnetization = 0.173 μB per cell
E_form (uncorrected) = -24.98 eV per formula unit

a b c (Å): 5.657 5.657 11.558
angles (deg): 90.00 90.00 120.00
Positions (direct):
Rb  0.000  0.000  0.000
Rb  0.000  0.000  0.500
Ti  0.333  0.667  0.250
Ti  0.667  0.333  0.750
Cu  0.333  0.667  0.750
Cu  0.667  0.333  0.250
F  0.041  0.406  0.156
F  0.041  0.634  0.344
F  0.366  0.406  0.344
F  0.366  0.959  0.156
F  0.406  0.041  0.656
F  0.406  0.366  0.844
F  0.594  0.634  0.156
F  0.594  0.959  0.344
F  0.634  0.041  0.844
F  0.634  0.594  0.656
F  0.959  0.366  0.656
F  0.959  0.594  0.844